Entry 1:
Entry from Alexandria: a relaxed structure of Sm2ErO (PBE).

The structure belongs to space group R-3m (No. 166, hexagonal axes); the cell edges are 3.5783, 3.5783 and 27.6764 Å and the angles 90.00°, 90.00° and 120.00°. Symmetry generates all atoms from Sm at (0.0000, 0.0000, 0.1185), Er at (0.0000, 0.0000, 0.0000) and O at (0.0000, 0.0000, 0.5000).

Its uncorrected formation energy is -1.14 eV/atom. Its total energy is -70.6 eV/cell.



Entry 2:
Entry from Alexandria: a relaxed structure of SmErO (PBE).

The structure belongs to space group P3m1 (No. 156); the cell edges are 3.5313, 3.5313 and 5.8861 Å and the angles 90.00°, 90.00° and 120.00°. Symmetry generates all atoms from Sm at (0.0000, 0.0000, 0.0000), Er at (0.3333, 0.6667, 0.4682) and O at (0.6667, 0.3333, 0.2652).

Its uncorrected formation energy is -1.77 eV/atom. Its total energy is -19.5 eV/cell.



Entry 3:
Entry from Alexandria: a relaxed structure of Sm2ErO (PBE).

The structure belongs to space group P4/mmm (No. 123); the cell edges are 3.230, 3.230 and 8.893 Å and the angles 90.00°, 90.00° and 90.00°. Symmetry generates all atoms from Sm at (0.000, 0.000, 0.173), Er at (0.500, 0.500, 0.500) and O at (0.500, 0.500, 0.000).

Its uncorrected formation energy is -0.82 eV/atom. Its total energy is -22.2 eV/cell.



Entry 4:
Entry from Alexandria: a relaxed structure of Sm3ErO6 (PBE).

The structure belongs to space group R-3 (No. 148, hexagonal axes); the cell edges are 9.8559, 9.8559 and 11.5149 Å and the angles 90.00°, 90.00° and 120.00°. Symmetry generates all atoms from Sm at (0.0391, 0.7731, 0.2091), Er at (0.0000, 0.0000, 0.0000), Er at (0.0000, 0.0000, 0.5000), O at (0.0278, 0.8133, 0.4044) and O at (0.0278, 0.8420, 0.8746).

Its uncorrected formation energy is -3.49 eV/atom. Its total energy is -500.2 eV/cell.



Entry 5:
Entry from Alexandria: a relaxed structure of SmEr3O6 (PBE).

The structure belongs to space group R-3 (No. 148, hexagonal axes); the cell edges are 9.6229, 9.6229 and 11.4090 Å and the angles 90.00°, 90.00° and 120.00°. Symmetry generates all atoms from Sm at (0.0000, 0.0000, 0.0000), Sm at (0.0000, 0.0000, 0.5000), Er at (0.0375, 0.7730, 0.2111), O at (0.0240, 0.8006, 0.4017) and O at (0.0283, 0.8392, 0.8643).

Its uncorrected formation energy is -3.52 eV/atom. Its total energy is -500.4 eV/cell.



Entry 6:
Entry from Alexandria: a relaxed structure of Sm3Er5O12 (PBE).

The structure belongs to space group Ia-3d (No. 230); the cell edges are 13.497, 13.497 and 13.497 Å and the angles 90.00°, 90.00° and 90.00°. Symmetry generates all atoms from Sm at (0.000, 0.250, 0.125), Er at (0.000, 0.000, 0.000), Er at (0.000, 0.250, 0.375) and O at (0.022, 0.064, 0.653).

Its uncorrected formation energy is -3.39 eV/atom. Its total energy is -1314.1 eV/cell.



Entry 7:
Entry from Alexandria: a relaxed structure of Sm4Er2Sn3O2 (PBE).

The structure belongs to space group I4/mmm (No. 139); the cell edges are 4.744, 4.744 and 25.127 Å and the angles 90.00°, 90.00° and 90.00°. Symmetry generates all atoms from Sm at (0.000, 0.500, 0.084), Er at (0.000, 0.000, 0.194), Sn at (0.000, 0.000, 0.320), Sn at (0.000, 0.000, 0.500) and O at (0.000, 0.000, 0.105).

Its uncorrected formation energy is -1.47 eV/atom. Its total energy is -132.2 eV/cell.



Entry 8:
Entry from Alexandria: a relaxed structure of Sm2Er4Sn3O2 (PBE).

The structure belongs to space group I4/mmm (No. 139); the cell edges are 4.618, 4.618 and 25.200 Å and the angles 90.00°, 90.00° and 90.00°. Symmetry generates all atoms from Sm at (0.000, 0.000, 0.195), Er at (0.000, 0.500, 0.082), Sn at (0.000, 0.000, 0.325), Sn at (0.000, 0.000, 0.500) and O at (0.000, 0.000, 0.093).

Its uncorrected formation energy is -1.54 eV/atom. Its total energy is -133.0 eV/cell.